# 1
Crystalline Ba2PIrI at its relaxed geometry, computed with PBE.

Unit cell a=6.295 b=6.295 c=4.371 alpha=90.00 beta=90.00 gamma=90.00
Space group P4/mmm (No. 123)
Unique sites:
Ba (0.000, 0.500, 0.000) (multiplicity 2)
P (0.000, 0.000, 0.000) (multiplicity 1)
Ir (0.000, 0.000, 0.500) (multiplicity 1)
I (0.500, 0.500, 0.500) (multiplicity 1)

E_form (uncorrected)   -0.9329 eV per atom
E above lowest polymorph   3.2 kJ/mol of atoms
Electronic total energy   -4.866 eV/atom
DOS(E_F)   0.8 states/eV/cell
Crystal system   tetragonal
Calculated volume   34.64 Å³/atom


# 2
Crystalline Ba2PIrI at its relaxed geometry, computed with PBE.

Unit cell a=6.268 b=6.268 c=4.460 alpha=90.00 beta=90.00 gamma=90.00
Space group P4/mmm (No. 123)
Unique sites:
Ba (0.000, 0.500, 0.000) (multiplicity 2)
P (0.000, 0.000, 0.500) (multiplicity 1)
Ir (0.000, 0.000, 0.000) (multiplicity 1)
I (0.500, 0.500, 0.500) (multiplicity 1)

E_form (uncorrected)   -0.9664 eV per atom
E above lowest polymorph   0.0 kJ/mol of atoms
Electronic total energy   -4.900 eV/atom
DOS(E_F)   2.0 states/eV/cell
Crystal system   tetragonal
Calculated volume   35.04 Å³/atom


# 3
Crystalline Ba6Ir2PdI3 at its relaxed geometry, computed with PBE.

Unit cell a=8.057 b=13.956 c=8.944 alpha=90.00 beta=107.47 gamma=90.00
Space group C2/m (No. 12)
Unique sites:
Ba (0.218, 0.000, 0.197) (multiplicity 4)
Ba (0.240, 0.326, 0.199) (multiplicity 8)
Ir (0.000, 0.167, 0.000) (multiplicity 4)
Pd (0.000, 0.500, 0.000) (multiplicity 2)
I (0.000, 0.000, 0.500) (multiplicity 2)
I (0.000, 0.336, 0.500) (multiplicity 4)

E_form (uncorrected)   -0.8385 eV per atom
Electronic total energy   -4.097 eV/atom
DOS(E_F)   7.4 states/eV/cell
Crystal system   monoclinic
Calculated volume   39.97 Å³/atom


# 4
Crystalline Ba6Ir2PtI3 at its relaxed geometry, computed with PBE.

Unit cell a=8.036 b=13.921 c=8.917 alpha=90.00 beta=107.49 gamma=90.00
Space group C2/m (No. 12)
Unique sites:
Ba (0.222, 0.000, 0.197) (multiplicity 4)
Ba (0.238, 0.328, 0.198) (multiplicity 8)
Ir (0.000, 0.167, 0.000) (multiplicity 4)
Pt (0.000, 0.500, 0.000) (multiplicity 2)
I (0.000, 0.000, 0.500) (multiplicity 2)
I (0.000, 0.335, 0.500) (multiplicity 4)

E_form (uncorrected)   -0.8803 eV per atom
Electronic total energy   -4.209 eV/atom
DOS(E_F)   7.1 states/eV/cell
Crystal system   monoclinic
Calculated volume   39.64 Å³/atom


# 5
Crystalline Ba6IrPt2I at its relaxed geometry, computed with PBE.

Unit cell a=8.0833 b=8.0833 c=22.9534 alpha=90.00 beta=90.00 gamma=120.00
Space group R3 (No. 146, hexagonal axes)
Unique sites:
Ba (0.0054, 0.3350, 0.0000) (multiplicity 9)
Ba (0.0172, 0.6206, 0.8441) (multiplicity 9)
Ir (0.0000, 0.0000, 0.2622) (multiplicity 3)
Pt (0.0000, 0.0000, 0.0809) (multiplicity 3)
Pt (0.0000, 0.0000, 0.5899) (multiplicity 3)
I (0.0000, 0.0000, 0.7748) (multiplicity 3)

E_form (uncorrected)   -0.6080 eV per atom
Electronic total energy   -4.011 eV/atom
DOS(E_F)   22.0 states/eV/cell
Crystal system   trigonal
Calculated volume   43.30 Å³/atom


# 6
Crystalline Ba8IrPt3I3 at its relaxed geometry, computed with PBE.

Unit cell a=15.990 b=9.242 c=10.219 alpha=90.00 beta=121.40 gamma=90.00
Space group C2/m (No. 12)
Unique sites:
Ba (0.015, 0.241, 0.305) (multiplicity 8)
Ba (0.226, 0.000, 0.695) (multiplicity 4)
Ba (0.232, 0.500, 0.695) (multiplicity 4)
Ir (0.000, 0.000, 0.500) (multiplicity 2)
Pt (0.000, 0.500, 0.500) (multiplicity 2)
Pt (0.250, 0.250, 0.500) (multiplicity 4)
I (0.000, 0.000, 0.000) (multiplicity 2)
I (0.250, 0.250, 0.000) (multiplicity 4)

E_form (uncorrected)   -0.9276 eV per atom
Electronic total energy   -4.062 eV/atom
DOS(E_F)   21.2 states/eV/cell
Crystal system   monoclinic
Calculated volume   42.97 Å³/atom


# 7
Crystalline RbBa2IrI at its relaxed geometry, computed with PBE.

Unit cell a=6.063 b=6.063 c=6.134 alpha=90.00 beta=90.00 gamma=90.00
Space group P4/mmm (No. 123)
Unique sites:
Rb (0.000, 0.000, 0.000) (multiplicity 1)
Ba (0.000, 0.500, 0.500) (multiplicity 2)
Ir (0.500, 0.500, 0.500) (multiplicity 1)
I (0.500, 0.500, 0.000) (multiplicity 1)

E_form (uncorrected)   -0.1185 eV per atom
E above lowest polymorph   20.8 kJ/mol of atoms
Electronic total energy   -3.163 eV/atom
DOS(E_F)   3.3 states/eV/cell
Crystal system   tetragonal
Calculated volume   45.10 Å³/atom


# 8
Crystalline Rb2BaIrI6 at its relaxed geometry, computed with PBE.

Unit cell a=8.659 b=8.659 c=12.195 alpha=90.00 beta=90.00 gamma=90.00
Space group I4/mmm (No. 139)
Unique sites:
Rb (0.000, 0.500, 0.250) (multiplicity 4)
Ba (0.000, 0.000, 0.000) (multiplicity 2)
Ir (0.000, 0.000, 0.500) (multiplicity 2)
I (0.000, 0.000, 0.275) (multiplicity 4)
I (0.226, 0.226, 0.500) (multiplicity 8)

E_form (uncorrected)   -0.9161 eV per atom
Electronic total energy   -3.118 eV/atom
DOS(E_F)   6.9 states/eV/cell
Crystal system   tetragonal
Calculated volume   45.71 Å³/atom


# 9
Crystalline RbBa2IrI at its relaxed geometry, computed with PBE.

Unit cell a=5.961 b=5.961 c=6.665 alpha=90.00 beta=90.00 gamma=90.00
Space group P4/mmm (No. 123)
Unique sites:
Rb (0.000, 0.000, 0.000) (multiplicity 1)
Ba (0.000, 0.500, 0.500) (multiplicity 2)
Ir (0.000, 0.000, 0.500) (multiplicity 1)
I (0.500, 0.500, 0.000) (multiplicity 1)

E_form (uncorrected)   -0.3336 eV per atom
E above lowest polymorph   0.0 kJ/mol of atoms
Electronic total energy   -3.378 eV/atom
DOS(E_F)   3.1 states/eV/cell
Crystal system   tetragonal
Calculated volume   47.36 Å³/atom


# 10
Crystalline Ba6IrRh2I3 at its relaxed geometry, computed with PBE.

Unit cell a=8.033 b=13.910 c=8.868 alpha=90.00 beta=107.56 gamma=90.00
Space group C2/m (No. 12)
Unique sites:
Ba (0.231, 0.166, 0.196) (multiplicity 8)
Ba (0.234, 0.500, 0.196) (multiplicity 4)
Ir (0.000, 0.000, 0.000) (multiplicity 2)
Rh (0.000, 0.334, 0.000) (multiplicity 4)
I (0.000, 0.167, 0.500) (multiplicity 4)
I (0.000, 0.500, 0.500) (multiplicity 2)

E_form (uncorrected)   -0.7607 eV per atom
Electronic total energy   -4.073 eV/atom
DOS(E_F)   18.1 states/eV/cell
Crystal system   monoclinic
Calculated volume   39.36 Å³/atom


# 11
Crystalline BaIrRhI2 at its relaxed geometry, computed with PBE.

Unit cell a=5.535 b=5.535 c=4.868 alpha=90.00 beta=90.00 gamma=90.00
Space group P4/mmm (No. 123)
Unique sites:
Ba (0.000, 0.000, 0.000) (multiplicity 1)
Ir (0.500, 0.500, 0.500) (multiplicity 1)
Rh (0.500, 0.500, 0.000) (multiplicity 1)
I (0.000, 0.500, 0.500) (multiplicity 2)

E_form (uncorrected)   -0.0754 eV per atom
Electronic total energy   -4.323 eV/atom
DOS(E_F)   2.5 states/eV/cell
Crystal system   tetragonal
Calculated volume   29.83 Å³/atom


# 12
Crystalline Ba4IrSI2 at its relaxed geometry, computed with PBE.

Unit cell a=8.107 b=4.637 c=8.830 alpha=90.00 beta=106.62 gamma=90.00
Space group P2/m (No. 10)
Unique sites:
Ba (0.229, 0.000, 0.200) (multiplicity 2)
Ba (0.250, 0.500, 0.807) (multiplicity 2)
Ir (0.000, 0.500, 0.000) (multiplicity 1)
S (0.500, 0.000, 0.000) (multiplicity 1)
I (0.000, 0.000, 0.500) (multiplicity 1)
I (0.500, 0.500, 0.500) (multiplicity 1)

E_form (uncorrected)   -1.2746 eV per atom
Electronic total energy   -4.247 eV/atom
DOS(E_F)   3.8 states/eV/cell
Crystal system   monoclinic
Calculated volume   39.76 Å³/atom